Record 1
A geometry-optimized SrPr2Ge4Pd4 structure, computed with PBE.

Output
raw total energy: -5.40 eV/atom

a = 4.214 Å, b = 4.416 Å, c = 25.482 Å
α = 90.00°, β = 90.00°, γ = 90.00°
Space group Immm (No. 71)
Symmetry-distinct sites (fractional):
Sr  0.000  0.000  0.000
Pr  0.000  0.500  0.148
Ge  0.000  0.000  0.450
Ge  0.000  0.500  0.305
Pd  0.000  0.000  0.250
Pd  0.000  0.500  0.403

Record 2
A geometry-optimized Sr2PrGe4Pd4 structure, computed with PBE.

Output
raw total energy: -5.09 eV/atom

a = 4.325 Å, b = 4.400 Å, c = 25.338 Å
α = 90.00°, β = 90.00°, γ = 90.00°
Space group Immm (No. 71)
Symmetry-distinct sites (fractional):
Sr  0.000  0.000  0.146
Pr  0.000  0.500  0.000
Ge  0.000  0.000  0.302
Ge  0.000  0.500  0.451
Pd  0.000  0.000  0.403
Pd  0.000  0.500  0.250

Record 3
A geometry-optimized PrYGe2Pd4 structure, computed with PBE.

Output
raw total energy: -5.95 eV/atom

a = 4.4300 Å, b = 4.4300 Å, c = 9.2433 Å
α = 90.00°, β = 90.00°, γ = 120.00°
Space group P-6m2 (No. 187)
Symmetry-distinct sites (fractional):
Pr  0.0000  0.0000  0.0000
Y  0.6667  0.3333  0.5000
Ge  0.3333  0.6667  0.2601
Pd  0.0000  0.0000  0.3340
Pd  0.6667  0.3333  0.1784

Record 4
A geometry-optimized PrYGe4Pd2 structure, computed with PBE.

Output
raw total energy: -5.77 eV/atom

a = 4.411 Å, b = 4.257 Å, c = 17.482 Å
α = 90.00°, β = 90.00°, γ = 90.00°
Space group Amm2 (No. 38)
Symmetry-distinct sites (fractional):
Pr  0.000  0.000  0.000
Y  0.500  0.000  0.786
Ge  0.000  0.000  0.358
Ge  0.000  0.000  0.642
Ge  0.500  0.000  0.147
Ge  0.500  0.000  0.427
Pd  0.000  0.000  0.219
Pd  0.500  0.000  0.568

Record 5
A geometry-optimized Ge4Pd3Pt structure, computed with PBE.

Output
raw total energy: -5.48 eV/atom

a = 5.842 Å, b = 3.619 Å, c = 6.298 Å
α = 90.00°, β = 90.08°, γ = 90.00°
Space group Pm (No. 6)
Symmetry-distinct sites (fractional):
Ge  0.000  0.000  0.000
Ge  0.123  0.500  0.498
Ge  0.494  0.000  0.338
Ge  0.625  0.500  0.839
Pd  0.314  0.000  0.725
Pd  0.806  0.500  0.230
Pd  0.813  0.000  0.610
Pt  0.308  0.500  0.109

Record 6
A geometry-optimized GePd2Pt structure, computed with PBE.

Output
raw total energy: -5.52 eV/atom

a = 6.269 Å, b = 6.269 Å, c = 6.269 Å
α = 90.00°, β = 90.00°, γ = 90.00°
Space group F-43m (No. 216)
Symmetry-distinct sites (fractional):
Ge  0.000  0.000  0.000
Pd  0.000  0.000  0.500
Pd  0.250  0.250  0.750
Pt  0.250  0.250  0.250

Record 7
A geometry-optimized Sm2Ge4PdPt structure, computed with PBE.

Output
raw total energy: -5.70 eV/atom

a = 4.410 Å, b = 4.293 Å, c = 17.156 Å
α = 90.00°, β = 90.00°, γ = 90.00°
Space group Amm2 (No. 38)
Symmetry-distinct sites (fractional):
Sm  0.000  0.000  0.000
Sm  0.500  0.000  0.215
Ge  0.000  0.000  0.360
Ge  0.000  0.000  0.643
Ge  0.500  0.000  0.573
Ge  0.500  0.000  0.857
Pd  0.500  0.000  0.432
Pt  0.000  0.000  0.785

Record 8
A geometry-optimized TbTm2Ge3PdPt2 structure, computed with PBE.

Output
raw total energy: -6.00 eV/atom

a = 3.890 Å, b = 12.520 Å, c = 7.185 Å
α = 90.00°, β = 90.00°, γ = 90.00°
Space group Amm2 (No. 38)
Symmetry-distinct sites (fractional):
Tb  0.000  0.000  0.000
Tm  0.000  0.203  0.609
Ge  0.500  0.000  0.662
Ge  0.500  0.129  0.280
Pd  0.000  0.000  0.410
Pt  0.500  0.169  0.906